A relaxed structure of Na3In5, computed with PBE.

DOS(E_F) (states/eV/atom): 0.359
Space-group type: Cmcm
E_tot (Ry/atom): -0.16858
Distance to the lowest polymorph of the same formula (meV per atom): 4
Magnetization (μB/cell): 0.000

```
data_Na3In5
_cell_length_a 6.680
_cell_length_b 6.680
_cell_length_c 10.125
_cell_angle_alpha 90.00
_cell_angle_beta 90.00
_cell_angle_gamma 104.87
_space_group_name_H-M_alt 'P 1'
_space_group_IT_number 1
loop_
_space_group_symop_operation_xyz
'x,y,z'
loop_
_atom_site_label
_atom_site_fract_x
_atom_site_fract_y
_atom_site_fract_z
Na1 0.263 0.737 0.000
Na2 0.737 0.263 0.000
Na3 0.737 0.263 0.500
Na4 0.263 0.737 0.500
Na5 0.542 0.542 0.750
Na6 0.458 0.458 0.250
In1 0.460 0.027 0.750
In2 0.540 0.973 0.250
In3 0.027 0.460 0.750
In4 0.973 0.540 0.250
In5 0.932 0.932 0.750
In6 0.068 0.068 0.250
In7 0.220 0.220 0.963
In8 0.780 0.780 0.037
In9 0.780 0.780 0.463
In10 0.220 0.220 0.537
```